Version P
The following is a DFT calculation (PBE) of a relaxed structure of Zn2SiPt8.

Its density of states at the Fermi level is 0.5917 states/eV/atom. As for the space group: No. 71. The value obtained for the magnetic moment is 0.0 μB per formula unit.

Cell lengths 4.161, 7.317, 6.987 Å; angles 121.58, 107.32, 90.00 degrees
Sites, in units of the cell vectors:
Zn: 0.196 0.696 0.393
Zn: 0.804 0.304 0.607
Si: 0.500 0.000 0.000
Pt: 0.654 0.885 0.309
Pt: 0.346 0.577 0.691
Pt: 0.133 0.133 0.266
Pt: 0.000 0.318 0.000
Pt: 0.867 0.867 0.734
Pt: 0.654 0.423 0.309
Pt: 0.346 0.115 0.691
Pt: 0.000 0.682 0.000

=====

Version Q
The following is a DFT calculation (PBE) of a relaxed structure of Zn2SiPt8.

Its density of states at the Fermi level is 0.6317 states/eV/atom. As for the space group: No. 12. The value obtained for the magnetic moment is 0.0 μB per formula unit.

Cell lengths 4.055, 5.475, 8.376 Å; angles 107.60, 104.01, 90.00 degrees
Sites, in units of the cell vectors:
Zn: 0.815 0.255 0.629
Zn: 0.185 0.745 0.371
Si: 0.500 0.000 0.000
Pt: 0.392 0.576 0.783
Pt: 0.641 0.961 0.283
Pt: 0.785 0.699 0.571
Pt: 0.983 0.245 0.965
Pt: 0.215 0.301 0.429
Pt: 0.359 0.039 0.717
Pt: 0.608 0.424 0.217
Pt: 0.017 0.755 0.035

=====

Most stable to least stable, the ends of the list are version Q and version P.

=====

Version P
The following is a DFT calculation (PBE) of a relaxed structure of Zr4SiPt.

Its density of states at the Fermi level is 1.1095 states/eV/atom. As for the space group: No. 124. The value obtained for the magnetic moment is 0.0 μB per formula unit.

Cell lengths 5.442, 6.651, 6.651 Å; angles 90.00, 90.00, 90.00 degrees
Sites, in units of the cell vectors:
Zr: 0.000 0.162 0.656
Zr: 0.000 0.838 0.344
Zr: 0.000 0.344 0.162
Zr: 0.000 0.656 0.838
Zr: 0.500 0.838 0.656
Zr: 0.500 0.162 0.344
Zr: 0.500 0.656 0.162
Zr: 0.500 0.344 0.838
Si: 0.250 0.500 0.500
Si: 0.750 0.500 0.500
Pt: 0.250 0.000 0.000
Pt: 0.750 0.000 0.000

=====

Version Q
The following is a DFT calculation (PBE) of a relaxed structure of Zr4SiPt.

Its density of states at the Fermi level is 1.0717 states/eV/atom. As for the space group: No. 216. The value obtained for the magnetic moment is 0.0 μB per formula unit.

Cell lengths 5.559, 5.559, 5.559 Å; angles 60.00, 60.00, 60.00 degrees
Sites, in units of the cell vectors:
Zr: 0.375 0.876 0.375
Zr: 0.876 0.375 0.375
Zr: 0.375 0.375 0.876
Zr: 0.375 0.375 0.375
Si: 0.000 0.000 0.000
Pt: 0.750 0.750 0.750

=====

Most stable to least stable, the ends of the list are version P and version Q.

=====

Version P
The following is a DFT calculation (PBE) of a relaxed structure of ZrSiPt3.

Its density of states at the Fermi level is 0.7323 states/eV/atom. As for the space group: No. 221. The value obtained for the magnetic moment is 0.0 μB per formula unit.

Cell lengths 4.542, 4.542, 4.542 Å; angles 90.00, 90.00, 90.00 degrees
Sites, in units of the cell vectors:
Si: 0.000 0.000 0.000
Zr: 0.500 0.500 0.500
Pt: 0.000 0.500 0.000
Pt: 0.000 0.000 0.500
Pt: 0.500 0.000 0.000

=====

Version Q
The following is a DFT calculation (PBE) of a relaxed structure of ZrSiPt3.

Its density of states at the Fermi level is 0.4787 states/eV/atom. As for the space group: No. 221. The value obtained for the magnetic moment is 0.0 μB per formula unit.

Cell lengths 4.965, 4.965, 4.965 Å; angles 90.00, 90.00, 90.00 degrees
Sites, in units of the cell vectors:
Si: 0.500 0.500 0.500
Zr: 0.000 0.000 0.000
Pt: 0.000 0.500 0.000
Pt: 0.000 0.000 0.500
Pt: 0.500 0.000 0.000

=====

Most stable to least stable, the ends of the list are version P and version Q.

=====

Version P
The following is a DFT calculation (PBE) of a relaxed structure of SrSm2Pt.

Its density of states at the Fermi level is 1.3436 states/eV/atom. As for the space group: No. 123. The value obtained for the magnetic moment is 0.0 μB per formula unit.

Cell lengths 3.657, 3.657, 9.853 Å; angles 90.00, 90.00, 90.00 degrees
Sites, in units of the cell vectors:
Sr: 0.500 0.500 0.500
Sm: 0.000 0.000 0.834
Sm: 0.000 0.000 0.166
Pt: 0.500 0.500 0.000

=====

Version Q
The following is a DFT calculation (PBE) of a relaxed structure of SrSm2Pt.

Its density of states at the Fermi level is 1.1196 states/eV/atom. As for the space group: No. 166. The value obtained for the magnetic moment is 0.0 μB per formula unit.

Cell lengths 4.222, 4.222, 10.098 Å; angles 77.93, 77.93, 60.00 degrees
Sites, in units of the cell vectors:
Sr: 0.500 0.500 0.500
Sm: 0.282 0.282 0.153
Sm: 0.718 0.718 0.847
Pt: 0.000 0.000 0.000

=====

Version R
The following is a DFT calculation (PBE) of a relaxed structure of SrSm2Pt.

Its density of states at the Fermi level is 0.8575 states/eV/atom. As for the space group: No. 160. The value obtained for the magnetic moment is 0.0 μB per formula unit.

Cell lengths 4.258, 4.258, 9.813 Å; angles 77.47, 77.47, 60.00 degrees
Sites, in units of the cell vectors:
Sr: 0.501 0.501 0.496
Sm: 0.051 0.051 0.847
Sm: 0.282 0.282 0.155
Pt: 0.666 0.666 0.001

=====

Most stable to least stable, the ends of the list are version R and version P.